No. 1
## Sm4TlRe (PBE)

Data for Sm4TlRe after structural relaxation.

Cell lengths 8.028, 8.028, 6.312 Å; angles 99.46, 99.46, 112.93 degrees
Sites, in units of the cell vectors:
Sm (0.060, 0.722, 0.953)
Sm (0.201, 0.355, 0.607)
Sm (0.278, 0.940, 0.547)
Sm (0.355, 0.201, 0.107)
Sm (0.645, 0.799, 0.893)
Sm (0.722, 0.060, 0.453)
Sm (0.799, 0.645, 0.393)
Sm (0.940, 0.278, 0.047)
Tl (0.377, 0.623, 0.250)
Tl (0.623, 0.377, 0.750)
Re (0.000, 0.000, 0.250)
Re (0.000, 0.000, 0.750)

M_tot, Bohr magnetons per cell: 0.0
Crystal system: monoclinic
Energy relative to the elements, eV per atom: -0.122
Space-group type: No. 15

No. 2
## CdAgSe (PBE)

Data for CdAgSe after structural relaxation.

Cell lengths 4.112, 4.112, 4.706 Å; angles 90.00, 90.00, 120.00 degrees
Sites, in units of the cell vectors:
Cd (0.000, 0.000, 0.000)
Ag (0.333, 0.667, 0.634)
Se (0.667, 0.333, 0.329)

M_tot, Bohr magnetons per cell: 0.0
Crystal system: trigonal
Space-group type: No. 156
Formation energy without anion corrections, eV/atom: -0.07

No. 3
## FeCo3Rh (PBE)

Data for FeCo3Rh after structural relaxation.

Cell lengths 4.184, 4.184, 4.184 Å; angles 90.00, 90.00, 90.00 degrees
Sites, in units of the cell vectors:
Fe (0.000, 0.000, 0.000)
Co (0.000, 0.000, 0.500)
Co (0.000, 0.500, 0.000)
Co (0.500, 0.000, 0.000)
Rh (0.500, 0.500, 0.500)

M_tot, Bohr magnetons per cell: 8.2
Crystal system: cubic
Energy relative to the elements, eV per atom: 1.159
Space-group type: No. 221

No. 4
## CsTeC3 (PBE)

Data for CsTeC3 after structural relaxation.

Cell lengths 4.639, 4.639, 4.639 Å; angles 90.00, 90.00, 90.00 degrees
Sites, in units of the cell vectors:
Cs (0.000, 0.000, 0.000)
Te (0.500, 0.500, 0.500)
C (0.000, 0.000, 0.500)
C (0.000, 0.500, 0.000)
C (0.500, 0.000, 0.000)

M_tot, Bohr magnetons per cell: 0.0
Crystal system: cubic
Space-group type: No. 221
Formation energy without anion corrections, eV/atom: 4.05

No. 5
## UNb6O16 (PBE)

Data for UNb6O16 after structural relaxation.

Cell lengths 6.768, 7.997, 8.819 Å; angles 80.60, 83.60, 71.88 degrees
Sites, in units of the cell vectors:
U (0.000, 0.000, 0.000)
Nb (0.397, 0.573, 0.148)
Nb (0.398, 0.224, 0.505)
Nb (0.409, 0.956, 0.173)
Nb (0.591, 0.044, 0.827)
Nb (0.602, 0.776, 0.495)
Nb (0.603, 0.427, 0.852)
O (0.119, 0.071, 0.191)
O (0.126, 0.733, 0.107)
O (0.131, 0.273, 0.549)
O (0.344, 0.981, 0.939)
O (0.374, 0.413, 0.998)
O (0.434, 0.398, 0.333)
O (0.474, 0.031, 0.363)
O (0.483, 0.719, 0.306)
O (0.517, 0.281, 0.694)
O (0.526, 0.969, 0.637)
O (0.566, 0.602, 0.667)
O (0.626, 0.587, 0.002)
O (0.656, 0.019, 0.061)
O (0.869, 0.727, 0.451)
O (0.874, 0.267, 0.893)
O (0.881, 0.929, 0.809)

M_tot, Bohr magnetons per cell: 2.6
Crystal system: triclinic
Space-group type: No. 2
Formation energy without anion corrections, eV/atom: -2.43

No. 6
## HfTlI2N (PBE)

Data for HfTlI2N after structural relaxation.

Cell lengths 6.050, 6.050, 4.044 Å; angles 90.00, 90.00, 90.00 degrees
Sites, in units of the cell vectors:
Hf (0.000, 0.000, 0.000)
Tl (0.500, 0.500, 0.500)
I (0.000, 0.500, 0.000)
I (0.500, 0.000, 0.000)
N (0.000, 0.000, 0.500)

M_tot, Bohr magnetons per cell: 0.0
Crystal system: tetragonal
Space-group type: No. 123
Formation energy without anion corrections, eV/atom: -0.42

No. 7
## Ca2Hg17 (PBE)

Data for Ca2Hg17 after structural relaxation.

Cell lengths 8.896, 8.896, 8.896 Å; angles 62.13, 62.13, 62.13 degrees
Sites, in units of the cell vectors:
Ca (0.229, 0.229, 0.229)
Ca (0.771, 0.771, 0.771)
Hg (0.000, 0.500, 0.500)
Hg (0.077, 0.077, 0.690)
Hg (0.077, 0.690, 0.077)
Hg (0.183, 0.500, 0.817)
Hg (0.183, 0.817, 0.500)
Hg (0.310, 0.923, 0.923)
Hg (0.412, 0.412, 0.412)
Hg (0.500, 0.000, 0.500)
Hg (0.500, 0.183, 0.817)
Hg (0.500, 0.500, 0.000)
Hg (0.500, 0.817, 0.183)
Hg (0.588, 0.588, 0.588)
Hg (0.690, 0.077, 0.077)
Hg (0.817, 0.183, 0.500)
Hg (0.817, 0.500, 0.183)
Hg (0.923, 0.310, 0.923)
Hg (0.923, 0.923, 0.310)

M_tot, Bohr magnetons per cell: 0.0
Crystal system: trigonal
Energy relative to the elements, eV per atom: -0.121
Space-group type: No. 166

No. 8
## Co2RePt (PBE)

Data for Co2RePt after structural relaxation.

Cell lengths 2.689, 2.689, 25.523 Å; angles 90.00, 90.00, 120.00 degrees
Sites, in units of the cell vectors:
Co (0.000, 0.000, 0.248)
Co (0.000, 0.000, 0.752)
Co (0.333, 0.667, 0.419)
Co (0.333, 0.667, 0.915)
Co (0.667, 0.333, 0.085)
Co (0.667, 0.333, 0.581)
Re (0.000, 0.000, 0.500)
Re (0.333, 0.667, 0.167)
Re (0.667, 0.333, 0.833)
Pt (0.000, 0.000, 0.000)
Pt (0.333, 0.667, 0.667)
Pt (0.667, 0.333, 0.333)

M_tot, Bohr magnetons per cell: 8.2
Crystal system: trigonal
Energy relative to the elements, eV per atom: 0.047
Space-group type: No. 166

Let's list uncorrected energy in order: -68.84; -7.45; -31.33; -11.39; -206.98; -25.84; -11.43; -97.54 eV for the cell shown.
Let's list calculated volume in order: 357.72; 68.90; 73.26; 99.82; 446.60; 148.02; 521.38; 159.79 Å³/cell.